a:
Material: MgAlGa4
Method: DFT, PBE
State: optimized geometry

Properties
Crystal system: monoclinic
Density of states at the Fermi level in states/eV/atom: 0.326

a b c (Å): 5.1799 7.7897 6.8848
angles (deg): 124.45 81.72 90.00
Closest atoms and distances in Å follow each position.
Positions (direct):
1 Mg 0.5000 0.0000 0.5000  8 Ga 2.90-3.04, 2 Al 2.91
2 Mg 0.0000 0.5000 0.5000  8 Ga 2.90-3.04, 2 Al 2.91
3 Al 0.7500 0.7500 0.0000  8 Ga 2.84-2.91, 2 Mg 2.91
4 Al 0.2500 0.2500 0.0000  8 Ga 2.84-2.91, 2 Mg 2.91
5 Ga 0.6024 0.5499 0.2456  5 Ga 2.76-2.94, 2 Al 2.84-2.91, 2 Mg 2.90-3.04
6 Ga 0.6024 0.1957 0.2456  5 Ga 2.76-2.94, 2 Al 2.84-2.91, 2 Mg 2.90-3.04
7 Ga 0.1024 0.6957 0.2456  5 Ga 2.76-2.94, 2 Al 2.84-2.91, 2 Mg 2.90-3.04
8 Ga 0.1024 0.0499 0.2456  5 Ga 2.76-2.94, 2 Al 2.84-2.91, 2 Mg 2.90-3.04
9 Ga 0.3976 0.8043 0.7544  5 Ga 2.76-2.94, 2 Al 2.84-2.91, 2 Mg 2.90-3.04
10 Ga 0.3976 0.4501 0.7544  5 Ga 2.76-2.94, 2 Al 2.84-2.91, 2 Mg 2.90-3.04
11 Ga 0.8976 0.9501 0.7544  5 Ga 2.76-2.94, 2 Al 2.84-2.91, 2 Mg 2.90-3.04
12 Ga 0.8976 0.3043 0.7544  5 Ga 2.76-2.94, 2 Al 2.84-2.91, 2 Mg 2.90-3.04



b:
Material: MgAlGa4
Method: DFT, PBE
State: optimized geometry

Properties
Crystal system: cubic
Density of states at the Fermi level in states/eV/atom: 0.649

a b c (Å): 5.4810 5.4810 5.4810
angles (deg): 60.00 60.00 60.00
Closest atoms and distances in Å follow each position.
Positions (direct):
1 Mg 0.0000 0.0000 0.0000  12 Ga 3.21, 4 Al 3.36
2 Al 0.2500 0.2500 0.2500  12 Ga 3.21, 4 Mg 3.36
3 Ga 0.6252 0.6252 0.1244  6 Ga 2.74-2.75
4 Ga 0.6252 0.1244 0.6252  6 Ga 2.74-2.75
5 Ga 0.6252 0.6252 0.6252  6 Ga 2.74-2.75
6 Ga 0.1244 0.6252 0.6252  6 Ga 2.74-2.75



a takes first place; second place is 91 meV/atom up.



a:
Material: Mg3AlGa4
Method: DFT, PBE
State: optimized geometry

Properties
Crystal system: monoclinic
Density of states at the Fermi level in states/eV/atom: 0.294

a b c (Å): 3.0558 7.1227 7.8375
angles (deg): 106.82 101.24 90.00
Closest atoms and distances in Å follow each position.
Positions (direct):
1 Mg 0.0000 0.5000 0.0000  8 Ga 2.81-3.04, 2 Mg 3.06
2 Mg 0.1869 0.1391 0.3739  6 Ga 2.81-3.08, 2 Mg 3.06, 2 Al 3.15
3 Mg 0.8131 0.8609 0.6261  6 Ga 2.81-3.08, 2 Mg 3.06, 2 Al 3.15
4 Al 0.5000 0.0000 0.0000  2 Ga 2.69
5 Ga 0.3355 0.5397 0.6709  3 Ga 2.66-2.95, 2 Mg 2.86
6 Ga 0.6645 0.4603 0.3291  3 Ga 2.66-2.95, 2 Mg 2.86
7 Ga 0.6212 0.7947 0.2423  1 Ga 2.66, 1 Al 2.69, 5 Mg 2.81-2.85
8 Ga 0.3788 0.2053 0.7577  1 Ga 2.66, 1 Al 2.69, 5 Mg 2.81-2.85



b:
Material: Mg3AlGa4
Method: DFT, PBE
State: optimized geometry

Properties
Crystal system: orthorhombic
Density of states at the Fermi level in states/eV/atom: 0.290

a b c (Å): 5.1433 5.9101 9.9284
angles (deg): 90.00 90.00 90.00
Closest atoms and distances in Å follow each position.
Positions (direct):
1 Mg 0.0000 0.0000 0.0000  2 Al 2.96, 8 Ga 2.98-2.99, 2 Mg 3.18
2 Mg 0.0000 0.0000 0.5000  2 Al 2.96, 8 Ga 2.98-2.99, 2 Mg 3.18
3 Mg 0.6141 0.0000 0.7500  8 Ga 2.94-3.04, 4 Mg 2.96-3.18
4 Mg 0.3859 0.0000 0.2500  8 Ga 2.94-3.04, 4 Mg 2.96-3.18
5 Mg 0.6337 0.5000 0.7500  8 Ga 2.90-2.98, 2 Mg 2.96, 2 Al 3.12
6 Mg 0.3663 0.5000 0.2500  8 Ga 2.90-2.98, 2 Mg 2.96, 2 Al 3.12
7 Al 0.0000 0.5000 0.0000  8 Ga 2.94, 4 Mg 2.96-3.12
8 Al 0.0000 0.5000 0.5000  8 Ga 2.94, 4 Mg 2.96-3.12
9 Ga 0.5000 0.7403 0.0000  4 Ga 2.84-3.14, 2 Al 2.94, 6 Mg 2.94-2.99
10 Ga 0.5000 0.7403 0.5000  4 Ga 2.84-3.14, 2 Al 2.94, 6 Mg 2.94-2.99
11 Ga 0.5000 0.2597 0.0000  4 Ga 2.84-3.14, 2 Al 2.94, 6 Mg 2.94-2.99
12 Ga 0.5000 0.2597 0.5000  4 Ga 2.84-3.14, 2 Al 2.94, 6 Mg 2.94-2.99
13 Ga 0.1247 0.7421 0.7500  4 Ga 2.86-3.14, 6 Mg 2.90-3.04, 2 Al 2.94
14 Ga 0.8753 0.7421 0.2500  4 Ga 2.86-3.14, 6 Mg 2.90-3.04, 2 Al 2.94
15 Ga 0.8753 0.2579 0.2500  4 Ga 2.86-3.14, 6 Mg 2.90-3.04, 2 Al 2.94
16 Ga 0.1247 0.2579 0.7500  4 Ga 2.86-3.14, 6 Mg 2.90-3.04, 2 Al 2.94



b takes first place; second place is 66 meV/atom up.



a:
Material: Mg2AlGa3
Method: DFT, PBE
State: optimized geometry

Properties
Crystal system: orthorhombic
Density of states at the Fermi level in states/eV/atom: 0.298

a b c (Å): 3.1709 6.6686 11.5793
angles (deg): 90.00 97.87 90.00
Closest atoms and distances in Å follow each position.
Positions (direct):
1 Mg 0.1648 0.7500 0.3297  6 Ga 2.79-2.95
2 Mg 0.8352 0.2500 0.6703  6 Ga 2.79-2.95
3 Mg 0.9810 0.7500 0.9620  8 Ga 2.85-2.92, 2 Mg 3.17
4 Mg 0.0190 0.2500 0.0380  8 Ga 2.85-2.92, 2 Mg 3.17
5 Al 0.3585 0.7500 0.7170  4 Ga 2.59-2.67
6 Al 0.6415 0.2500 0.2830  4 Ga 2.59-2.67
7 Ga 0.4280 0.4445 0.8559  1 Al 2.59, 1 Ga 2.59, 2 Mg 2.85
8 Ga 0.5720 0.5555 0.1441  1 Al 2.59, 1 Ga 2.59, 2 Mg 2.85
9 Ga 0.4280 0.0555 0.8559  1 Al 2.59, 1 Ga 2.59, 2 Mg 2.85
10 Ga 0.5720 0.9445 0.1441  1 Al 2.59, 1 Ga 2.59, 2 Mg 2.85
11 Ga 0.7650 0.7500 0.5301  2 Al 2.67, 2 Mg 2.79
12 Ga 0.2350 0.2500 0.4699  2 Al 2.67, 2 Mg 2.79



b:
Material: Mg2AlGa3
Method: DFT, PBE
State: optimized geometry

Properties
Crystal system: triclinic
Density of states at the Fermi level in states/eV/atom: 0.314

a b c (Å): 10.4785 6.9174 8.7435
angles (deg): 113.34 34.36 89.89
Closest atoms and distances in Å follow each position.
Positions (direct):
1 Mg 0.7439 0.4599 0.5866  4 Ga 2.75-3.03, 2 Al 2.96-3.07
2 Mg 0.7661 0.8640 0.4021  5 Ga 2.77-3.05, 2 Al 2.97-3.08
3 Mg 0.2561 0.5401 0.4134  4 Ga 2.75-3.03, 2 Al 2.96-3.07
4 Mg 0.2339 0.1360 0.5979  5 Ga 2.77-3.05, 2 Al 2.97-3.08
5 Al 0.7461 0.1016 0.0059  6 Ga 2.70-2.81, 2 Mg 2.96-2.97
6 Al 0.2539 0.8984 0.9941  6 Ga 2.70-2.81, 2 Mg 2.96-2.97
7 Ga 0.5000 0.0000 0.0000  2 Al 2.71, 2 Ga 2.75, 4 Mg 2.75-2.83
8 Ga 0.0000 0.0000 0.0000  2 Al 2.70, 2 Ga 2.73, 4 Mg 2.77-2.82
9 Ga 0.5944 0.6195 0.3210  2 Ga 2.67-2.73, 2 Al 2.72-2.81, 1 Mg 2.79
10 Ga 0.4056 0.3805 0.6790  2 Ga 2.67-2.73, 2 Al 2.72-2.81, 1 Mg 2.79
11 Ga 0.9057 0.2871 0.6740  2 Ga 2.67-2.75, 2 Al 2.71-2.79, 1 Mg 2.78
12 Ga 0.0943 0.7129 0.3260  2 Ga 2.67-2.75, 2 Al 2.71-2.79, 1 Mg 2.78



a takes first place; second place is 33 meV/atom up.